## Pa3Pb (PBE)

Data for an optimized crystal structure of Pa3Pb.

Its theoretical density is 14.661 g cm⁻³. The calculation puts the excess energy over the best structure of this formula in the dataset at 0 meV/atom. The value obtained for the final energy is -32.1 eV/cell.

The structure belongs to space group Pm-3m (No. 221); the cell edges are 4.672, 4.672 and 4.672 Å and the angles 90.00°, 90.00° and 90.00°. The distinct sites, in fractional coordinates, are Pa at (0.000, 0.000, 0.500) and Pb at (0.500, 0.500, 0.500).